## TbYHf (GGA-PBE)

Data for a relaxed structure of TbYHf.

Cell lengths 6.0564, 5.3294, 6.0755 Å; angles 90.00, 119.72, 90.00 degrees
Closest atoms and distances in Å follow each position.
Fractional positions:
Tb 0.1808 0.2500 0.1640  4 Hf 3.27-3.56, 5 Y 3.34-3.62, 2 Tb 3.40
Tb 0.8192 0.7500 0.8360  4 Hf 3.27-3.56, 5 Y 3.34-3.62, 2 Tb 3.40
Y 0.1849 0.7500 0.5121  5 Hf 3.28-3.63, 5 Tb 3.34-3.62, 2 Y 3.44
Y 0.8151 0.2500 0.4879  5 Hf 3.28-3.63, 5 Tb 3.34-3.62, 2 Y 3.44
Hf 0.4952 0.7500 0.1347  2 Hf 3.14, 3 Tb 3.27-3.33, 3 Y 3.28-3.37
Hf 0.5048 0.2500 0.8653  2 Hf 3.14, 3 Tb 3.27-3.33, 3 Y 3.28-3.37

Values from the calculation:
Magnetization (Bohr magnetons per cell): 0.0
Total energy (eV per cell): -41.39

## Nd3Fe (GGA-PBE)

Data for a relaxed structure of Nd3Fe.

Cell lengths 6.4071, 6.4071, 6.4071 Å; angles 146.87, 63.71, 127.26 degrees
Closest atoms and distances in Å follow each position.
Fractional positions:
Nd 0.0000 0.0000 0.0000  2 Fe 3.09
Nd 0.3105 0.5021 0.8084  2 Fe 2.79
Nd 0.6937 0.5021 0.1916  2 Fe 2.79
Fe 0.5626 0.0626 0.5000  6 Nd 2.79-3.09

Values from the calculation:
Magnetization (Bohr magnetons per cell): 0.4
Total energy (eV per cell): -22.00